1.
The following is a DFT calculation (PBE) of an optimized crystal structure of MgCuOs2.

The structure in POSCAR format:
```
MgCuOs2
1.0
2.788 0.000 0.000
0.000 3.794 0.000
0.000 0.000 5.558
Mg Cu Os
1 1 2
Cartesian
0.000 0.000 0.000 Mg
1.394 1.897 4.312 Cu
0.000 0.000 2.768 Os
1.394 1.897 1.676 Os
```

Results
As for the space group: Pmm2 (25). As for the magnetization: 0.00 Bohr magnetons per cell. Its formation energy is 0.60 eV per formula unit.

=====

2.
The following is a DFT calculation (PBE) of an optimized crystal structure of MgCu2Os.

The structure in POSCAR format:
```
MgCu2Os
1.0
1.360 0.785 8.822
-1.360 0.785 8.822
0.000 -1.570 8.822
Mg Cu Os
1 2 1
Cartesian
0.000 0.000 0.000 Mg
0.000 0.000 6.571 Cu
0.000 0.000 19.894 Cu
0.000 0.000 13.233 Os
```

Results
As for the space group: R-3m (166). As for the magnetization: 0.00 Bohr magnetons per cell. Its formation energy is 0.91 eV per formula unit.

=====

3.
The following is a DFT calculation (PBE) of an optimized crystal structure of MgCu2Os.

The structure in POSCAR format:
```
MgCu2Os
1.0
2.693 0.000 0.000
0.000 2.693 0.000
0.000 0.000 7.779
Mg Cu Os
1 2 1
Cartesian
0.000 0.000 0.000 Mg
1.346 1.346 2.021 Cu
1.346 1.346 5.758 Cu
0.000 0.000 3.890 Os
```

Results
As for the space group: P4/mmm (123). As for the magnetization: 0.36 Bohr magnetons per cell. Its formation energy is 1.08 eV per formula unit.

=====

4.
The following is a DFT calculation (PBE) of an optimized crystal structure of MgCuOs2.

The structure in POSCAR format:
```
MgCuOs2
1.0
-2.133 2.133 3.129
2.133 -2.133 3.129
2.133 2.133 -3.129
Mg Cu Os
1 1 2
Cartesian
0.000 0.000 0.000 Mg
0.000 2.133 1.565 Cu
2.133 0.000 1.565 Os
0.000 0.000 3.129 Os
```

Results
As for the space group: I-4m2 (119). As for the magnetization: 0.00 Bohr magnetons per cell. Its formation energy is 0.97 eV per formula unit.